A plane-wave DFT calculation with PBE-GGA was carried out for a relaxed structure of PrPt6.

Output
Spin magnetization, μB/f.u.: 0.00
DFT total energy, eV per atom: -6.3535
ΔH_f (0 K), meV/atom: -493
Polymorph energy (0 for the lowest one), meV per atom: 0
D(E_F), states/eV per cell: 35.56

Cell lengths 8.857, 5.447, 10.647 Å; angles 90.00, 90.00, 90.00 degrees
Space group Pnma (No. 62)
Asymmetric unit:
1 Pr 0.245 0.250 0.057 [4 per cell]
2 Pt 0.065 0.006 0.300 [8 per cell]
3 Pt 0.066 0.750 0.076 [4 per cell]
4 Pt 0.110 0.250 0.520 [4 per cell]
5 Pt 0.164 0.750 0.838 [4 per cell]
6 Pt 0.178 0.250 0.773 [4 per cell]